(1)
First-principles (GGA-PBE) data for an optimized crystal structure of ZnSi2Ru, as listed in Alexandria via LeMat-Bulk.

## Properties
DOS at the Fermi energy in states/eV/cell: 5.01
ΔE_f (raw) in eV per formula unit: 1.64
V in Å³/atom: 20.46

Cell: 6.3451 6.3451 6.3451 Å, 125.37 125.37 80.93°
With the nearest neighbours (Å) after each atom.
Sites, in units of the cell vectors:
Zn  0.0000  0.0000  0.0000  4 Si 2.49
Zn  0.7500  0.2500  0.5000  4 Si 2.49
Si  0.1530  0.6250  0.0280  2 Ru 2.29, 2 Zn 2.49
Si  0.3750  0.4030  0.5280  2 Ru 2.29, 2 Zn 2.49
Si  0.5970  0.1250  0.9720  2 Ru 2.29, 2 Zn 2.49
Si  0.8750  0.8470  0.4720  2 Ru 2.29, 2 Zn 2.49
Ru  0.2500  0.7500  0.5000  4 Si 2.29
Ru  0.5000  0.5000  0.0000  4 Si 2.29

(2)
First-principles (GGA-PBE) data for an optimized crystal structure of Zn2SiRu, as listed in Alexandria via LeMat-Bulk.

## Properties
DOS at the Fermi energy in states/eV/cell: 0.95
ΔE_f (raw) in eV per formula unit: -0.68
V in Å³/atom: 14.02

Cell: 4.6035 4.6035 4.4443 Å, 109.78 109.78 39.66°
With the nearest neighbours (Å) after each atom.
Sites, in units of the cell vectors:
Zn  0.0000  0.0000  0.0000  3 Zn 2.47-2.59, 2 Ru 2.66, 2 Si 2.73
Zn  0.2442  0.2442  0.8387  3 Zn 2.47-2.59, 2 Si 2.58
Si  0.7527  0.7527  0.3819  3 Ru 2.42-2.54, 2 Zn 2.58
Ru  0.4782  0.4782  0.4682  3 Si 2.42-2.54, 2 Zn 2.66

(3)
First-principles (GGA-PBE) data for an optimized crystal structure of ZnSiRu, as listed in Alexandria via LeMat-Bulk.

## Properties
DOS at the Fermi energy in states/eV/cell: 1.37
ΔE_f (raw) in eV per formula unit: -0.83
V in Å³/atom: 13.64

Cell: 6.5182 6.5182 4.1686 Å, 95.62 95.62 27.68°
With the nearest neighbours (Å) after each atom.
Sites, in units of the cell vectors:
Zn  0.0000  0.0000  0.0000  6 Si 2.58-2.78, 1 Zn 2.63, 4 Ru 2.70-2.78
Zn  0.1785  0.1785  0.3819  6 Ru 2.59-2.75, 1 Zn 2.63, 4 Si 2.70-2.77
Si  0.3173  0.3173  0.9317  6 Ru 2.43-2.66, 1 Zn 2.70
Si  0.5064  0.5064  0.5099  3 Ru 2.43-2.44, 4 Zn 2.58-2.63
Ru  0.6694  0.6694  0.8748  3 Si 2.43-2.44, 4 Zn 2.59-2.62
Ru  0.8588  0.8588  0.4441  6 Si 2.43-2.66, 1 Zn 2.70

(4)
First-principles (GGA-PBE) data for an optimized crystal structure of Zn2SiRu, as listed in Alexandria via LeMat-Bulk.

## Properties
DOS at the Fermi energy in states/eV/cell: 1.76
ΔE_f (raw) in eV per formula unit: -0.24
V in Å³/atom: 14.64

Cell: 8.3837 8.3837 8.3837 Å, 19.70 19.70 19.70°
With the nearest neighbours (Å) after each atom.
Sites, in units of the cell vectors:
Zn  0.0000  0.0000  0.0000  3 Ru 2.69, 9 Zn 2.77-2.87
Zn  0.2434  0.2434  0.2434  3 Si 2.70, 9 Zn 2.77-2.87
Si  0.4903  0.4903  0.4903  3 Ru 2.41
Ru  0.7528  0.7528  0.7528  3 Si 2.41, 3 Zn 2.69

(5)
First-principles (GGA-PBE) data for an optimized crystal structure of ZnSi2Ru, as listed in Alexandria via LeMat-Bulk.

## Properties
DOS at the Fermi energy in states/eV/cell: 2.04
ΔE_f (raw) in eV per formula unit: -0.16
V in Å³/atom: 13.70

Cell: 4.2791 2.9666 4.6789 Å, 90.00 112.69 90.00°
With the nearest neighbours (Å) after each atom.
Sites, in units of the cell vectors:
Zn  0.0000  0.0000  0.0000  6 Si 2.49-2.60, 4 Ru 2.77
Si  0.5000  0.0000  0.5000  2 Zn 2.49, 4 Ru 2.60, 4 Si 2.77
Si  0.5000  0.5000  0.0000  2 Ru 2.49, 4 Zn 2.60, 4 Si 2.77
Ru  0.0000  0.5000  0.5000  6 Si 2.49-2.60, 4 Zn 2.77

(6)
First-principles (GGA-PBE) data for an optimized crystal structure of ZnSi2Ru, as listed in Alexandria via LeMat-Bulk.

## Properties
DOS at the Fermi energy in states/eV/cell: 0.94
ΔE_f (raw) in eV per formula unit: -0.51
V in Å³/atom: 13.87

Cell: 4.3452 4.3452 4.6367 Å, 97.34 97.34 39.78°
With the nearest neighbours (Å) after each atom.
Sites, in units of the cell vectors:
Zn  0.0000  0.0000  0.0000  2 Si 2.46, 4 Ru 2.75
Si  0.2373  0.2373  0.7261  1 Zn 2.46, 3 Ru 2.51-2.55, 2 Si 2.60
Si  0.7627  0.7627  0.2739  1 Zn 2.46, 3 Ru 2.51-2.55, 2 Si 2.60
Ru  0.5000  0.5000  0.5000  6 Si 2.51-2.55, 4 Zn 2.75

(7)
First-principles (GGA-PBE) data for an optimized crystal structure of ZnSiRu, as listed in Alexandria via LeMat-Bulk.

## Properties
DOS at the Fermi energy in states/eV/cell: 1.06
ΔE_f (raw) in eV per formula unit: -1.01
V in Å³/atom: 13.30

Cell: 4.6593 4.6593 4.4163 Å, 90.00 90.00 123.65°
With the nearest neighbours (Å) after each atom.
Sites, in units of the cell vectors:
Zn  0.0715  0.9285  0.7500  2 Zn 2.50, 3 Si 2.60-2.72, 5 Ru 2.61-2.70
Zn  0.9285  0.0715  0.2500  2 Zn 2.50, 3 Si 2.60-2.72, 5 Ru 2.61-2.70
Si  0.4022  0.5978  0.7500  5 Ru 2.51-2.80, 3 Zn 2.60-2.72, 2 Si 2.73
Si  0.5978  0.4022  0.2500  5 Ru 2.51-2.80, 3 Zn 2.60-2.72, 2 Si 2.73
Ru  0.2570  0.7430  0.2500  5 Si 2.51-2.80, 5 Zn 2.61-2.70
Ru  0.7430  0.2570  0.7500  5 Si 2.51-2.80, 5 Zn 2.61-2.70

(8)
First-principles (GGA-PBE) data for an optimized crystal structure of ZnSiRu2, as listed in Alexandria via LeMat-Bulk.

## Properties
DOS at the Fermi energy in states/eV/cell: 4.80
ΔE_f (raw) in eV per formula unit: -0.04
V in Å³/atom: 13.59

Cell: 4.8032 4.8032 4.8032 Å, 135.12 135.12 65.34°
With the nearest neighbours (Å) after each atom.
Sites, in units of the cell vectors:
Zn  0.0000  0.0000  0.0000  8 Ru 2.59-2.73, 4 Si 2.73
Si  0.7500  0.2500  0.5000  8 Ru 2.59-2.73, 4 Zn 2.73
Ru  0.2500  0.7500  0.5000  4 Si 2.59, 4 Ru 2.73, 4 Zn 2.73
Ru  0.5000  0.5000  0.0000  4 Zn 2.59, 4 Ru 2.73, 4 Si 2.73

(9)
First-principles (GGA-PBE) data for an optimized crystal structure of ZnSiRu2, as listed in Alexandria via LeMat-Bulk.

## Properties
DOS at the Fermi energy in states/eV/cell: 3.42
ΔE_f (raw) in eV per formula unit: 0.15
V in Å³/atom: 14.48

Cell: 2.7711 2.7711 7.5439 Å, 90.00 90.00 90.00°
With the nearest neighbours (Å) after each atom.
Sites, in units of the cell vectors:
Zn  0.0000  0.0000  0.0000  4 Ru 2.72, 4 Zn 2.77, 4 Si 2.98
Si  0.5000  0.5000  0.7016  4 Ru 2.55, 4 Si 2.77
Ru  0.0000  0.0000  0.4848  4 Si 2.55, 8 Ru 2.64-2.77
Ru  0.5000  0.5000  0.2496  8 Ru 2.64-2.77, 4 Zn 2.72

(10)
First-principles (GGA-PBE) data for an optimized crystal structure of ZnSi2Ru3, as listed in Alexandria via LeMat-Bulk.

## Properties
DOS at the Fermi energy in states/eV/cell: 5.42
ΔE_f (raw) in eV per formula unit: -2.82
V in Å³/atom: 13.07

Cell: 2.9441 2.9441 9.0483 Å, 90.00 90.00 90.00°
With the nearest neighbours (Å) after each atom.
Sites, in units of the cell vectors:
Zn  0.0000  0.0000  0.0000  8 Ru 2.68, 4 Zn 2.94
Si  0.0000  0.0000  0.3321  8 Ru 2.47-2.58
Si  0.0000  0.0000  0.6679  8 Ru 2.47-2.58
Ru  0.5000  0.5000  0.1859  4 Si 2.47, 4 Zn 2.68
Ru  0.5000  0.5000  0.5000  8 Si 2.58, 2 Ru 2.84
Ru  0.5000  0.5000  0.8141  4 Si 2.47, 4 Zn 2.68

(11)
First-principles (GGA-PBE) data for an optimized crystal structure of ZnSi2Ru, as listed in Alexandria via LeMat-Bulk.

## Properties
DOS at the Fermi energy in states/eV/cell: 1.65
ΔE_f (raw) in eV per formula unit: -0.38
V in Å³/atom: 13.68

Cell: 3.0332 3.5700 5.0541 Å, 90.00 90.00 90.00°
With the nearest neighbours (Å) after each atom.
Sites, in units of the cell vectors:
Zn  0.0000  0.0000  0.0000  6 Si 2.51-2.59, 4 Ru 2.79
Si  0.0000  0.0000  0.4960  2 Zn 2.51-2.55, 4 Ru 2.54, 4 Si 2.75
Si  0.5000  0.5000  0.7799  2 Ru 2.42-2.64, 4 Zn 2.59
Ru  0.5000  0.5000  0.3017  6 Si 2.42-2.64

(12)
First-principles (GGA-PBE) data for an optimized crystal structure of ZnSiRu2, as listed in Alexandria via LeMat-Bulk.

## Properties
DOS at the Fermi energy in states/eV/cell: 3.37
ΔE_f (raw) in eV per formula unit: -0.44
V in Å³/atom: 14.02

Cell: 2.7938 2.7938 8.0210 Å, 90.00 90.00 116.38°
With the nearest neighbours (Å) after each atom.
Sites, in units of the cell vectors:
Zn  0.0000  0.0000  0.0000  4 Ru 2.63, 6 Zn 2.79-2.95
Si  0.0000  0.0000  0.5000  4 Ru 2.35
Ru  0.5000  0.5000  0.2717  2 Si 2.35, 2 Zn 2.63
Ru  0.5000  0.5000  0.7283  2 Si 2.35, 2 Zn 2.63

(13)
First-principles (GGA-PBE) data for an optimized crystal structure of ZnSiRu2, as listed in Alexandria via LeMat-Bulk.

## Properties
DOS at the Fermi energy in states/eV/cell: 3.02
ΔE_f (raw) in eV per formula unit: 0.05
V in Å³/atom: 13.88

Cell: 2.8618 4.0836 4.7499 Å, 90.00 90.00 90.00°
With the nearest neighbours (Å) after each atom.
Sites, in units of the cell vectors:
Zn  0.0000  0.0000  0.0000  4 Ru 2.49, 4 Si 2.77
Si  0.5000  0.0000  0.5000  4 Ru 2.49, 4 Zn 2.77
Ru  0.0000  0.5000  0.5000  4 Si 2.49, 4 Ru 2.77
Ru  0.5000  0.5000  0.0000  4 Zn 2.49, 4 Ru 2.77

(14)
First-principles (GGA-PBE) data for an optimized crystal structure of ZnSiRu, as listed in Alexandria via LeMat-Bulk.

## Properties
DOS at the Fermi energy in states/eV/cell: 2.26
ΔE_f (raw) in eV per formula unit: -0.20
V in Å³/atom: 14.40

Cell: 2.8711 2.8711 6.0508 Å, 90.00 90.00 120.00°
With the nearest neighbours (Å) after each atom.
Sites, in units of the cell vectors:
Zn  0.0000  0.0000  0.0000  3 Ru 2.70, 3 Si 2.73, 6 Zn 2.87
Si  0.3333  0.6667  0.6405  3 Ru 2.41
Ru  0.6667  0.3333  0.3516  3 Si 2.41, 3 Zn 2.70

(15)
First-principles (GGA-PBE) data for an optimized crystal structure of ZnSiRu, as listed in Alexandria via LeMat-Bulk.

## Properties
DOS at the Fermi energy in states/eV/cell: 1.24
ΔE_f (raw) in eV per formula unit: -0.22
V in Å³/atom: 15.84

Cell: 4.0659 4.0659 4.0659 Å, 60.00 60.00 60.00°
With the nearest neighbours (Å) after each atom.
Sites, in units of the cell vectors:
Zn  0.0000  0.0000  0.0000  4 Ru 2.49
Si  0.5000  0.5000  0.5000  4 Ru 2.49
Ru  0.7500  0.7500  0.7500  4 Si 2.49, 4 Zn 2.49

(16)
First-principles (GGA-PBE) data for an optimized crystal structure of ZnSiRu, as listed in Alexandria via LeMat-Bulk.

## Properties
DOS at the Fermi energy in states/eV/cell: 1.98
ΔE_f (raw) in eV per formula unit: 0.31
V in Å³/atom: 14.66

Cell: 6.5512 6.3049 2.8035 Å, 82.37 72.53 25.10°
With the nearest neighbours (Å) after each atom.
Sites, in units of the cell vectors:
Zn  0.0000  0.0000  0.0000  2 Ru 2.63, 2 Si 2.69, 4 Zn 2.80
Si  0.6812  0.6812  0.3188  2 Ru 2.34
Ru  0.3255  0.3255  0.6745  2 Si 2.34

(17)
First-principles (GGA-PBE) data for an optimized crystal structure of ZnSiRu2, as listed in Alexandria via LeMat-Bulk.

## Properties
DOS at the Fermi energy in states/eV/cell: 3.57
ΔE_f (raw) in eV per formula unit: 1.59
V in Å³/atom: 15.48

Cell: 5.8636 5.8636 5.8636 Å, 152.66 137.81 51.01°
With the nearest neighbours (Å) after each atom.
Sites, in units of the cell vectors:
Zn  0.0000  0.0000  0.0000  4 Si 2.52, 2 Zn 2.77
Si  0.5000  0.5000  0.0000  2 Ru 2.25
Ru  0.2872  0.2872  0.0000  1 Si 2.25
Ru  0.7128  0.7128  0.0000  1 Si 2.25

(18)
First-principles (GGA-PBE) data for an optimized crystal structure of ZnSiRu, as listed in Alexandria via LeMat-Bulk.

## Properties
DOS at the Fermi energy in states/eV/cell: 0.81
ΔE_f (raw) in eV per formula unit: -0.94
V in Å³/atom: 13.67

Cell: 3.1017 3.0483 8.7044 Å, 90.00 94.77 90.00°
With the nearest neighbours (Å) after each atom.
Sites, in units of the cell vectors:
Zn  0.0000  0.0000  0.0000  4 Zn 2.57-2.58, 4 Si 2.66-2.69, 1 Ru 2.74
Zn  0.4636  0.5000  0.8408  4 Zn 2.57-2.58, 4 Ru 2.71-2.73, 1 Si 2.76
Si  0.3867  0.5000  0.5231  6 Ru 2.45-2.49
Si  0.5323  0.5000  0.1793  4 Ru 2.45-2.50, 4 Zn 2.66-2.69
Ru  0.0785  0.0000  0.3156  6 Si 2.45-2.50, 1 Zn 2.74
Ru  0.9157  0.0000  0.6528  4 Si 2.45, 4 Zn 2.71-2.73

(19)
First-principles (GGA-PBE) data for an optimized crystal structure of ZnSiRu, as listed in Alexandria via LeMat-Bulk.

## Properties
DOS at the Fermi energy in states/eV/cell: 1.16
ΔE_f (raw) in eV per formula unit: -0.89
V in Å³/atom: 14.10

Cell: 4.5383 4.5383 6.1212 Å, 93.72 93.72 42.26°
With the nearest neighbours (Å) after each atom.
Sites, in units of the cell vectors:
Zn  0.1358  0.1358  0.4394  3 Zn 2.46-2.60, 2 Si 2.55, 4 Ru 2.72-2.73
Zn  0.8642  0.8642  0.5606  3 Zn 2.46-2.60, 2 Si 2.55, 4 Ru 2.72-2.73
Si  0.2914  0.2914  0.8573  4 Ru 2.41-2.51, 2 Si 2.53, 2 Zn 2.55
Si  0.7086  0.7086  0.1427  4 Ru 2.41-2.51, 2 Si 2.53, 2 Zn 2.55
Ru  0.4208  0.4208  0.2200  4 Si 2.41-2.51
Ru  0.5792  0.5792  0.7800  4 Si 2.41-2.51

(20)
First-principles (GGA-PBE) data for an optimized crystal structure of Zn2SiRu, as listed in Alexandria via LeMat-Bulk.

## Properties
DOS at the Fermi energy in states/eV/cell: 2.53
ΔE_f (raw) in eV per formula unit: 1.04
V in Å³/atom: 14.86

Cell: 2.7009 2.7009 9.1095 Å, 90.00 90.00 116.58°
With the nearest neighbours (Å) after each atom.
Sites, in units of the cell vectors:
Zn  0.0000  0.0000  0.2378  2 Ru 2.59, 6 Zn 2.70-2.84, 2 Si 2.78
Zn  0.0000  0.0000  0.7622  2 Ru 2.59, 6 Zn 2.70-2.84, 2 Si 2.78
Si  0.5000  0.5000  0.5000  6 Si 2.70-2.84, 4 Zn 2.78
Ru  0.5000  0.5000  0.0000  4 Zn 2.59, 6 Ru 2.70-2.84